Record 1
This record from OQMD via LeMat-Bulk describes an optimized crystal structure of Tb3NdZn2. The functional is PBE-GGA.

Lattice parameters (Å, degrees): 3.585 3.585 12.317 90.00 90.00 90.00
Sites, in units of the cell vectors:
Tb 0.500 0.500 0.287
Tb 0.500 0.500 0.000
Tb 0.500 0.500 0.713
Nd 0.000 0.000 0.500
Zn 0.000 0.000 0.143
Zn 0.000 0.000 0.857

Results
calculated formation energy	-0.23	eV per atom
magnetic moment	0.0	μB per cell
crystal system	tetragonal
calculated volume	158	Å³/f.u.
symmetry	P4/mmm, No. 123

Record 2
This record from OQMD via LeMat-Bulk describes an optimized crystal structure of TbNdZn. The functional is PBE-GGA.

Lattice parameters (Å, degrees): 5.029 5.029 5.029 60.00 60.00 60.00
Sites, in units of the cell vectors:
Tb 0.750 0.750 0.750
Zn 0.000 0.000 0.000
Nd 0.250 0.250 0.250

Results
calculated formation energy	0.03	eV per atom
magnetic moment	0.1	μB per cell
ΔE to the lowest computed polymorph	92	meV/atom
crystal system	cubic
calculated volume	90	Å³/f.u.
symmetry	F-43m, No. 216

Record 3
This record from OQMD via LeMat-Bulk describes an optimized crystal structure of TbNdZn. The functional is PBE-GGA.

Lattice parameters (Å, degrees): 5.045 5.045 14.988 90.00 90.00 120.00
Sites, in units of the cell vectors:
Zn 0.333 0.667 0.622
Zn 0.333 0.667 0.878
Zn 0.667 0.333 0.378
Zn 0.667 0.333 0.122
Nd 0.000 0.000 0.250
Nd 0.000 0.000 0.750
Nd 0.000 0.000 0.500
Nd 0.000 0.000 0.000
Tb 0.333 0.667 0.382
Tb 0.333 0.667 0.118
Tb 0.667 0.333 0.882
Tb 0.667 0.333 0.618

Results
calculated formation energy	-0.07	eV per atom
magnetic moment	0.0	μB per cell
ΔE to the lowest computed polymorph	0	meV/atom
crystal system	hexagonal
calculated volume	83	Å³/f.u.
symmetry	P6_3/mmc, No. 194

Record 4
This record from OQMD via LeMat-Bulk describes an optimized crystal structure of NdTc. The functional is PBE-GGA.

Lattice parameters (Å, degrees): 4.362 4.362 4.362 60.00 60.00 60.00
Sites, in units of the cell vectors:
Nd 0.000 0.000 0.000
Tc 0.250 0.250 0.250

Results
calculated formation energy	1.84	eV per atom
magnetic moment	1.5	μB per cell
ΔE to the lowest computed polymorph	1127	meV/atom
crystal system	cubic
calculated volume	59	Å³/f.u.
symmetry	F-43m, No. 216

Q: Number 3 is which compound?
A: TbNdZn

Q: Which of these has the lowest calculated volume?
A: NdTc

Q: Among the records above, which one has the lowest calculated volume?
A: NdTc

Q: Number 1 is which compound?
A: Tb3NdZn2